Model i:
The following is a GGA-PBE calculation of a relaxed structure of HPtS3, from Alexandria via LeMat-Bulk.

a = 4.755 Å, b = 4.755 Å, c = 4.755 Å
α = 90.00°, β = 90.00°, γ = 90.00°
Element x y z (fractional)
H1 0.500 0.500 0.500
S1 0.000 0.500 0.000
S2 0.000 0.000 0.500
S3 0.500 0.000 0.000
Pt1 0.000 0.000 0.000

Symmetry: Pm-3m, No. 221
Total moment: 3.3 μB/cell

Model ii:
The following is a GGA-PBE calculation of a relaxed structure of HPtS3, from Alexandria via LeMat-Bulk.

a = 4.027 Å, b = 4.027 Å, c = 4.027 Å
α = 90.00°, β = 90.00°, γ = 90.00°
Element x y z (fractional)
H1 0.000 0.000 0.000
S1 0.000 0.500 0.000
S2 0.000 0.000 0.500
S3 0.500 0.000 0.000
Pt1 0.500 0.500 0.500

Symmetry: Pm-3m, No. 221
Total moment: 0.0 μB/cell

Most stable to least stable, the ends of the list are model ii and model i.

Model i:
The following is a GGA-PBE calculation of a relaxed structure of SbHPt3, from Alexandria via LeMat-Bulk.

a = 3.637 Å, b = 7.045 Å, c = 6.021 Å
α = 90.00°, β = 90.00°, γ = 90.00°
Element x y z (fractional)
Sb1 0.250 0.250 0.688
Sb2 0.750 0.750 0.312
H1 0.250 0.250 0.119
H2 0.750 0.750 0.881
Pt1 0.250 0.042 0.310
Pt2 0.750 0.958 0.690
Pt3 0.750 0.542 0.690
Pt4 0.250 0.458 0.310
Pt5 0.750 0.250 0.029
Pt6 0.250 0.750 0.971

Symmetry: Pmmn, No. 59
Total moment: 0.0 μB/cell

Model ii:
The following is a GGA-PBE calculation of a relaxed structure of SbHPt3, from Alexandria via LeMat-Bulk.

a = 5.005 Å, b = 5.005 Å, c = 5.005 Å
α = 90.00°, β = 90.00°, γ = 90.00°
Element x y z (fractional)
Sb1 0.000 0.000 0.000
Pt1 0.000 0.500 0.000
Pt2 0.000 0.000 0.500
Pt3 0.500 0.000 0.000
H1 0.500 0.500 0.500

Symmetry: Pm-3m, No. 221
Total moment: 1.7 μB/cell

Most stable to least stable, the ends of the list are model i and model ii.

Model i:
The following is a GGA-PBE calculation of a relaxed structure of ScHPt2, from Alexandria via LeMat-Bulk.

a = 2.885 Å, b = 2.885 Å, c = 7.985 Å
α = 79.59°, β = 79.59°, γ = 60.00°
Element x y z (fractional)
Sc1 0.000 0.000 0.000
H1 0.500 0.500 0.500
Pt1 0.110 0.110 0.669
Pt2 0.890 0.890 0.331

Symmetry: R-3m, No. 166
Total moment: 0.0 μB/cell

Model ii:
The following is a GGA-PBE calculation of a relaxed structure of ScHPt2, from Alexandria via LeMat-Bulk.

a = 6.487 Å, b = 6.487 Å, c = 5.279 Å
α = 52.09°, β = 52.09°, γ = 90.00°
Element x y z (fractional)
Sc1 0.000 0.000 0.000
Sc2 0.750 0.250 0.500
H1 0.500 0.500 0.000
H2 0.250 0.750 0.500
Pt1 0.520 0.125 0.250
Pt2 0.230 0.625 0.250
Pt3 0.375 0.480 0.750
Pt4 0.875 0.770 0.750

Symmetry: I-42d, No. 122
Total moment: 0.0 μB/cell

Model iii:
The following is a GGA-PBE calculation of a relaxed structure of ScHPt2, from Alexandria via LeMat-Bulk.

a = 4.344 Å, b = 4.344 Å, c = 4.344 Å
α = 60.00°, β = 60.00°, γ = 60.00°
Element x y z (fractional)
Sc1 0.500 0.500 0.500
H1 0.000 0.000 0.000
Pt1 0.250 0.250 0.250
Pt2 0.750 0.750 0.750

Symmetry: Fm-3m, No. 225
Total moment: 0.0 μB/cell

Most stable to least stable, the ends of the list are model ii and model i.

Model i:
The following is a GGA-PBE calculation of a relaxed structure of Sc2H2Pt, from Alexandria via LeMat-Bulk.

a = 3.302 Å, b = 3.302 Å, c = 6.187 Å
α = 74.52°, β = 74.52°, γ = 90.00°
Element x y z (fractional)
Sc1 0.356 0.356 0.288
Sc2 0.644 0.644 0.712
H1 0.750 0.250 0.500
H2 0.250 0.750 0.500
Pt1 0.000 0.000 0.000

Symmetry: I4/mmm, No. 139
Total moment: 0.0 μB/cell

Model ii:
The following is a GGA-PBE calculation of a relaxed structure of Sc2H2Pt, from Alexandria via LeMat-Bulk.

a = 3.166 Å, b = 3.166 Å, c = 6.425 Å
α = 90.00°, β = 90.00°, γ = 90.00°
Element x y z (fractional)
Sc1 0.500 0.500 0.730
Sc2 0.500 0.500 0.270
H1 0.500 0.000 0.500
H2 0.000 0.500 0.500
Pt1 0.000 0.000 0.000

Symmetry: P4/mmm, No. 123
Total moment: 0.0 μB/cell

Most stable to least stable, the ends of the list are model i and model ii.

Model i:
The following is a GGA-PBE calculation of a relaxed structure of Sc3HPt, from Alexandria via LeMat-Bulk.

a = 3.445 Å, b = 7.256 Å, c = 7.260 Å
α = 73.21°, β = 90.00°, γ = 90.00°
Element x y z (fractional)
Sc1 0.863 0.380 0.808
Sc2 0.863 0.008 0.685
Sc3 0.863 0.633 0.061
Sc4 0.363 0.016 0.068
Sc5 0.863 0.756 0.432
Sc6 0.363 0.373 0.425
H1 0.363 0.694 0.246
H2 0.364 0.194 0.746
Pt1 0.363 0.694 0.746
Pt2 0.863 0.194 0.247

Symmetry: Cmmm, No. 65
Total moment: 0.0 μB/cell

Model ii:
The following is a GGA-PBE calculation of a relaxed structure of Sc3HPt, from Alexandria via LeMat-Bulk.

a = 4.324 Å, b = 4.324 Å, c = 4.324 Å
α = 90.00°, β = 90.00°, γ = 90.00°
Element x y z (fractional)
Sc1 0.000 0.500 0.000
Sc2 0.000 0.000 0.500
Sc3 0.500 0.000 0.000
H1 0.000 0.000 0.000
Pt1 0.500 0.500 0.500

Symmetry: Pm-3m, No. 221
Total moment: 0.0 μB/cell

Most stable to least stable, the ends of the list are model i and model ii.

Model i:
The following is a GGA-PBE calculation of a relaxed structure of ScHPt3, from Alexandria via LeMat-Bulk.

a = 4.071 Å, b = 4.071 Å, c = 4.071 Å
α = 90.00°, β = 90.00°, γ = 90.00°
Element x y z (fractional)
Sc1 0.500 0.500 0.500
H1 0.000 0.000 0.000
Pt1 0.000 0.500 0.000
Pt2 0.000 0.000 0.500
Pt3 0.500 0.000 0.000

Symmetry: Pm-3m, No. 221
Total moment: 0.0 μB/cell

Model ii:
The following is a GGA-PBE calculation of a relaxed structure of ScHPt3, from Alexandria via LeMat-Bulk.

a = 5.708 Å, b = 5.747 Å, c = 5.829 Å
α = 119.48°, β = 119.96°, γ = 89.96°
Element x y z (fractional)
Sc1 0.129 0.942 0.719
Sc2 0.611 0.426 0.687
H1 0.123 0.273 0.381
H2 0.788 0.683 0.202
Pt1 0.618 0.427 0.204
Pt2 0.118 0.919 0.192
Pt3 0.618 0.942 0.204
Pt4 0.617 0.933 0.701
Pt5 0.116 0.444 0.722
Pt6 0.118 0.438 0.192

Symmetry: P1, No. 1
Total moment: 0.0 μB/cell

Model iii:
The following is a GGA-PBE calculation of a relaxed structure of ScHPt3, from Alexandria via LeMat-Bulk.

a = 4.863 Å, b = 4.863 Å, c = 4.863 Å
α = 90.00°, β = 90.00°, γ = 90.00°
Element x y z (fractional)
Sc1 0.000 0.000 0.000
H1 0.500 0.500 0.500
Pt1 0.000 0.500 0.000
Pt2 0.000 0.000 0.500
Pt3 0.500 0.000 0.000

Symmetry: Pm-3m, No. 221
Total moment: 0.5 μB/cell

Most stable to least stable, the ends of the list are model ii and model iii.